Entry from Alexandria via LeMat-Bulk: a geometry-optimized KRb2SI6 structure (PBE). Values from VASP.

Geometry as Quantum ESPRESSO input:
```
&SYSTEM
  ibrav = 0, nat = 10, ntyp = 4
/
ATOMIC_SPECIES
K 39.10 K.upf
Rb 85.47 Rb.upf
I 126.90 I.upf
S 32.06 S.upf
CELL_PARAMETERS angstrom
-0.7639 5.3458 -7.0187
-2.8183 -6.8237 -4.8906
-7.5056 0.4994 -4.3895
ATOMIC_POSITIONS angstrom
K 0.0000 0.0000 0.0000
Rb -5.0303 2.5531 -8.6814
I -1.3115 2.1020 -6.4514
I -0.9548 -0.3939 -3.1745
I -2.2707 -3.5799 -5.4578
I -6.7508 -0.7912 -11.0414
Rb -6.0575 -3.5316 -7.6173
I -2.6273 -1.0840 -8.7348
I -4.3369 -0.1872 -5.2573
S -1.7911 -0.7390 -5.9546
```

Computed properties:
ρ in g/cm3: 3.51
DFT total energy in eV/atom: -2.297
Space group: I4/mmm
Formation energy (no corrections) in meV/atom: -651
Magnetization in μB/cell: 0.9